# BaSrGaP2 PBE optimized geometry
# ΔH_f (0 K) = 0.640 eV per atom
# D(E_F) = 4.329 states/eV per cell
# final energy = -2.850 eV per atom
data_BaSrGaP2
_chemical_formula_sum 'Ba1 Sr1 Ga1 P2'
_cell_length_a 5.523
_cell_length_b 5.523
_cell_length_c 6.254
_cell_angle_alpha 90.00
_cell_angle_beta 90.00
_cell_angle_gamma 90.00
_space_group_name_H-M_alt 'P 4/m m m'
_space_group_IT_number 123
_space_group_name_Hall '-P 4 2'
loop_
_atom_site_label
_atom_site_type_symbol
_atom_site_fract_x
_atom_site_fract_y
_atom_site_fract_z
Ba1 Ba 0.000 0.000 0.000
Sr1 Sr 0.000 0.000 0.500
Ga1 Ga 0.500 0.500 0.000
P1 P 0.000 0.500 0.500

---

# PmSnHgSb PBE optimized geometry
# formation energy from raw total energies = -353 meV per atom
# D(E_F) = 11.792 states/eV per cell
# final energy = -3.647 eV per atom
data_PmSnHgSb
_chemical_formula_sum 'Pm4 Sn4 Hg4 Sb4'
_cell_length_a 7.624
_cell_length_b 7.624
_cell_length_c 7.624
_cell_angle_alpha 90.00
_cell_angle_beta 90.00
_cell_angle_gamma 90.00
_space_group_name_H-M_alt 'F -4 3 m'
_space_group_IT_number 216
_space_group_name_Hall 'F -4 2 3'
loop_
_atom_site_label
_atom_site_type_symbol
_atom_site_fract_x
_atom_site_fract_y
_atom_site_fract_z
Pm1 Pm 0.000 0.000 0.000
Sn1 Sn 0.000 0.000 0.500
Hg1 Hg 0.250 0.250 0.250
Sb1 Sb 0.250 0.250 0.750

---

# AcSn6Bi PBE optimized geometry
# ΔH_f (0 K) = -0.150 eV per atom
# D(E_F) = 4.464 states/eV per cell
# final energy = -4.151 eV per atom
data_AcSn6Bi
_chemical_formula_sum 'Ac1 Sn6 Bi1'
_cell_length_a 4.913
_cell_length_b 4.913
_cell_length_c 9.761
_cell_angle_alpha 90.00
_cell_angle_beta 90.00
_cell_angle_gamma 90.00
_space_group_name_H-M_alt 'P 4/m m m'
_space_group_IT_number 123
_space_group_name_Hall '-P 4 2'
loop_
_atom_site_label
_atom_site_type_symbol
_atom_site_fract_x
_atom_site_fract_y
_atom_site_fract_z
Ac1 Ac 0.000 0.000 0.000
Sn1 Sn 0.000 0.500 0.261
Sn2 Sn 0.500 0.500 0.000
Sn3 Sn 0.500 0.500 0.500
Bi1 Bi 0.000 0.000 0.500

---

final energy of number 2 (PmSnHgSb)?
-3.647 eV per atom

---

The lowest final energy belongs to which entry?
AcSn6Bi

---

Which formula does entry 3 have?
AcSn6Bi

---

D(E_F) of number 1 (BaSrGaP2)?
4.329 states/eV per cell